A plane-wave DFT calculation with PBE was carried out for crystalline NbAlAu3 at its relaxed geometry.

POSCAR file:
```
NbAlAu3
1.0
5.165 0.000 0.000
0.000 5.165 0.000
0.000 0.000 5.165
Nb Au Al
1 3 1
direct
0.000 0.000 0.000
0.000 0.500 0.000
0.000 0.000 0.500
0.500 0.000 0.000
0.500 0.500 0.500
```

Values from the calculation:
- ΔE_f (eV per atom) = 0.943
- ρ (g cm⁻³) = 8.57
- calculated volume (Å³ per cell) = 138
- energy relative to the lowest polymorph listed for this composition (eV/atom) = 0.3324